1.
# PBE Ce3InAg, relaxed
# - Symmetry: Pnma, No. 62
# - E_form: -0.088 eV per atom
# - Energy: -95.327 eV per cell
data_Ce3InAg
_chemical_formula_sum 'Ce12 In4 Ag4'
_symmetry_space_group_name_H-M 'P 1'
_symmetry_Int_Tables_number 1
_cell_length_a 4.860
_cell_length_b 9.578
_cell_length_c 11.363
_cell_angle_alpha 90.00
_cell_angle_beta 90.00
_cell_angle_gamma 90.00
loop_
_symmetry_equiv_pos_as_xyz
'x,y,z'
loop_
_atom_site_label
_atom_site_fract_x
_atom_site_fract_y
_atom_site_fract_z
Ce1 0.250 0.390 0.365
In1 0.750 0.542 0.178
Ce2 0.250 0.679 0.319
Ce3 0.750 0.834 0.368
Ce4 0.750 0.666 0.868
Ce5 0.250 0.821 0.819
Ce6 0.250 0.110 0.865
In2 0.750 0.958 0.678
Ce7 0.750 0.321 0.681
Ce8 0.750 0.890 0.135
In3 0.250 0.042 0.322
Ce9 0.750 0.610 0.635
Ce10 0.750 0.179 0.181
Ag1 0.750 0.342 0.949
Ag2 0.750 0.158 0.449
In4 0.250 0.458 0.822
Ag3 0.250 0.658 0.051
Ce11 0.250 0.334 0.132
Ag4 0.250 0.842 0.551
Ce12 0.250 0.166 0.632

2.
# PBE AlReMo3, relaxed
# - ΔE to the lowest computed polymorph: 0.098 eV per atom
# - Symmetry: Pm-3m, No. 221
# - E_form: 1.672 eV per atom
# - Energy: -40.322 eV per cell
data_AlReMo3
_chemical_formula_sum 'Al1 Re1 Mo3'
_symmetry_space_group_name_H-M 'P 1'
_symmetry_Int_Tables_number 1
_cell_length_a 4.441
_cell_length_b 4.441
_cell_length_c 4.441
_cell_angle_alpha 90.00
_cell_angle_beta 90.00
_cell_angle_gamma 90.00
loop_
_symmetry_equiv_pos_as_xyz
'x,y,z'
loop_
_atom_site_label
_atom_site_fract_x
_atom_site_fract_y
_atom_site_fract_z
Mo1 0.000 0.500 0.000
Al1 0.000 0.000 0.000
Mo2 0.500 0.000 0.000
Mo3 0.000 0.000 0.500
Re1 0.500 0.500 0.500

3.
# PBE LiHSeBrF, relaxed
# - ΔE to the lowest computed polymorph: 0.000 eV per atom
# - Symmetry: Pm, No. 6
# - Energy: -17.595 eV per cell
data_LiHSeBrF
_chemical_formula_sum 'Li1 H1 Se1 Br1 F1'
_symmetry_space_group_name_H-M 'P 1'
_symmetry_Int_Tables_number 1
_cell_length_a 2.957
_cell_length_b 2.852
_cell_length_c 9.906
_cell_angle_alpha 90.00
_cell_angle_beta 90.17
_cell_angle_gamma 90.00
loop_
_symmetry_equiv_pos_as_xyz
'x,y,z'
loop_
_atom_site_label
_atom_site_fract_x
_atom_site_fract_y
_atom_site_fract_z
Br1 0.027 0.000 0.113
Li1 0.022 0.000 0.389
F1 0.523 0.500 0.422
Se1 0.533 0.500 0.755
H1 0.530 0.500 0.601

4.
# PBE LiReBr2, relaxed
# - ΔE to the lowest computed polymorph: 0.280 eV per atom
# - E_form (uncorrected): 0.418 eV/atom
# - Symmetry: Cmm2, No. 35
# - Energy: -16.034 eV per cell
data_LiReBr2
_chemical_formula_sum 'Li1 Re1 Br2'
_symmetry_space_group_name_H-M 'P 1'
_symmetry_Int_Tables_number 1
_cell_length_a 3.129
_cell_length_b 3.129
_cell_length_c 9.869
_cell_angle_alpha 90.00
_cell_angle_beta 90.00
_cell_angle_gamma 119.41
loop_
_symmetry_equiv_pos_as_xyz
'x,y,z'
loop_
_atom_site_label
_atom_site_fract_x
_atom_site_fract_y
_atom_site_fract_z
Br1 0.000 0.000 0.943
Re1 0.500 0.500 0.747
Br2 0.500 0.500 0.312
Li1 0.000 0.000 0.498